Material: GaTe2S
Method: DFT, SCAN
State: PBEsol geometry

Computed properties:
Crystal system ... trigonal

Unit cell a=3.353 b=3.353 c=29.336 alpha=90.00 beta=90.00 gamma=120.00
Positions (direct):
Ga (0.000, 0.000, 0.000)
Ga (0.333, 0.667, 0.667)
Ga (0.667, 0.333, 0.333)
Te (0.000, 0.000, 0.096)
Te (0.000, 0.000, 0.904)
Te (0.333, 0.667, 0.570)
Te (0.333, 0.667, 0.763)
Te (0.667, 0.333, 0.237)
Te (0.667, 0.333, 0.430)
S (0.000, 0.000, 0.500)
S (0.333, 0.667, 0.167)
S (0.667, 0.333, 0.833)

Material: V4GaS8
Method: DFT, SCAN
State: PBEsol geometry

Computed properties:
Crystal system ... cubic

Unit cell a=6.717 b=6.717 c=6.717 alpha=60.00 beta=60.00 gamma=60.00
Positions (direct):
V (0.396, 0.396, 0.396)
V (0.396, 0.396, 0.812)
V (0.396, 0.812, 0.396)
V (0.812, 0.396, 0.396)
Ga (0.000, 0.000, 0.000)
S (0.108, 0.631, 0.631)
S (0.137, 0.137, 0.137)
S (0.137, 0.137, 0.588)
S (0.137, 0.588, 0.137)
S (0.588, 0.137, 0.137)
S (0.631, 0.108, 0.631)
S (0.631, 0.631, 0.108)
S (0.631, 0.631, 0.631)

Material: Y9Ga5S21
Method: DFT, SCAN
State: PBEsol geometry

Computed properties:
Crystal system ... trigonal

Unit cell a=11.277 b=11.277 c=11.277 alpha=94.22 beta=94.22 gamma=94.22
Positions (direct):
Y (0.014, 0.802, 0.641)
Y (0.022, 0.179, 0.799)
Y (0.122, 0.345, 0.496)
Y (0.132, 0.986, 0.361)
Y (0.179, 0.799, 0.022)
Y (0.320, 0.700, 0.476)
Y (0.345, 0.496, 0.122)
Y (0.361, 0.132, 0.986)
Y (0.458, 0.680, 0.833)
Y (0.476, 0.320, 0.700)
Y (0.496, 0.122, 0.345)
Y (0.641, 0.014, 0.802)
Y (0.680, 0.833, 0.458)
Y (0.700, 0.476, 0.320)
Y (0.799, 0.022, 0.179)
Y (0.802, 0.641, 0.014)
Y (0.833, 0.458, 0.680)
Y (0.986, 0.361, 0.132)
Ga (0.106, 0.106, 0.106)
Ga (0.131, 0.473, 0.797)
Ga (0.296, 0.968, 0.637)
Ga (0.410, 0.410, 0.410)
Ga (0.473, 0.797, 0.131)
Ga (0.604, 0.604, 0.604)
Ga (0.637, 0.296, 0.968)
Ga (0.797, 0.131, 0.473)
Ga (0.912, 0.912, 0.912)
Ga (0.968, 0.637, 0.296)
S (0.010, 0.909, 0.144)
S (0.034, 0.600, 0.114)
S (0.041, 0.191, 0.293)
S (0.061, 0.547, 0.628)
S (0.092, 0.759, 0.422)
S (0.114, 0.034, 0.600)
S (0.144, 0.010, 0.909)
S (0.191, 0.293, 0.041)
S (0.213, 0.307, 0.725)
S (0.237, 0.487, 0.344)
S (0.254, 0.785, 0.698)
S (0.257, 0.592, 0.924)
S (0.293, 0.041, 0.191)
S (0.307, 0.725, 0.213)
S (0.344, 0.237, 0.487)
S (0.357, 0.937, 0.449)
S (0.395, 0.531, 0.630)
S (0.408, 0.879, 0.962)
S (0.422, 0.092, 0.759)
S (0.449, 0.357, 0.937)
S (0.487, 0.344, 0.237)
S (0.531, 0.630, 0.395)
S (0.547, 0.628, 0.061)
S (0.554, 0.806, 0.660)
S (0.592, 0.924, 0.257)
S (0.600, 0.114, 0.034)
S (0.628, 0.061, 0.547)
S (0.630, 0.395, 0.531)
S (0.660, 0.554, 0.806)
S (0.698, 0.254, 0.785)
S (0.725, 0.213, 0.307)
S (0.728, 0.865, 0.978)
S (0.759, 0.422, 0.092)
S (0.785, 0.698, 0.254)
S (0.806, 0.660, 0.554)
S (0.865, 0.978, 0.728)
S (0.879, 0.962, 0.408)
S (0.909, 0.144, 0.010)
S (0.924, 0.257, 0.592)
S (0.937, 0.449, 0.357)
S (0.962, 0.408, 0.879)
S (0.978, 0.728, 0.865)

Material: ZrGa3S
Method: DFT, SCAN
State: PBEsol geometry

Computed properties:
Crystal system ... cubic

Unit cell a=4.637 b=4.637 c=4.637 alpha=90.00 beta=90.00 gamma=90.00
Positions (direct):
Zr (0.000, 0.000, 0.000)
Ga (0.000, 0.500, 0.500)
Ga (0.500, 0.000, 0.500)
Ga (0.500, 0.500, 0.000)
S (0.500, 0.500, 0.500)

| no. | E_tot (eV per atom) |
| --- | --- |
| 1 | -24.693 |
| 2 | -13.607 |
| 3 | -17.074 |
| 4 | -17.413 |